Record 1
PBE InGeAuO3, optimized geometry; raw total energy = -5.309 eV/atom
1.0
-8.7022 -3.3228 3.8370
1.4633 -2.2890 1.3364
1.4779 5.8689 8.4342
Au Ge In O
4 4 4 12
direct
0.6043 0.0000 0.0721
0.1043 0.0000 0.4279
0.8957 0.5000 0.5721
0.3957 0.5000 0.9279
0.9800 0.5000 0.1234
0.4800 0.5000 0.3766
0.5200 0.0000 0.6234
0.0200 0.0000 0.8766
0.2973 0.0000 0.1242
0.7973 0.0000 0.3758
0.2027 0.5000 0.6242
0.7027 0.5000 0.8758
0.9015 0.0000 0.0223
0.0819 0.0000 0.1966
0.8437 0.5000 0.2356
0.3437 0.5000 0.2644
0.5819 0.0000 0.3034
0.4015 0.0000 0.4777
0.5985 0.5000 0.5223
0.4181 0.5000 0.6966
0.6563 0.0000 0.7356
0.1563 0.0000 0.7644
0.9181 0.5000 0.8034
0.0985 0.5000 0.9777



Record 2
PBE InGeAuSeS2, optimized geometry; raw total energy = -3.920 eV/atom
1.0
-4.1181 4.2429 3.6905
1.8446 -2.4873 -6.2443
-6.9724 -7.6138 0.9731
Au Ge In S Se
2 2 2 4 2
direct
0.3510 0.6490 0.2500
0.6490 0.3510 0.7500
0.0000 0.0000 0.0000
0.0000 0.0000 0.5000
0.6934 0.3066 0.2500
0.3066 0.6934 0.7500
0.3706 0.6294 0.0247
0.3706 0.6294 0.4753
0.6294 0.3706 0.5247
0.6294 0.3706 0.9753
0.0404 0.9596 0.2500
0.9596 0.0404 0.7500



Record 3
PBE InGeTe2AuS, optimized geometry; raw total energy = -3.493 eV/atom
1.0
0.6008 5.8181 4.0376
-2.7823 -2.9865 -5.8184
-8.7996 -3.1244 5.8116
Au Ge In S Te
2 2 2 2 4
direct
0.5264 0.4736 0.2500
0.4736 0.5264 0.7500
0.0000 0.0000 0.0000
0.0000 0.0000 0.5000
0.2630 0.7370 0.2500
0.7370 0.2630 0.7500
0.9086 0.0914 0.2500
0.0914 0.9086 0.7500
0.6547 0.3453 0.0571
0.6547 0.3453 0.4429
0.3453 0.6547 0.5571
0.3453 0.6547 0.9429



Record 4
PBE InGeTeAuS2, optimized geometry; raw total energy = -3.787 eV/atom
1.0
1.9785 -6.7906 0.0000
1.9785 6.7906 0.0000
0.0000 0.0000 10.7690
Au Ge In S Te
2 2 2 4 2
direct
0.1351 0.8649 0.2500
0.8649 0.1351 0.7500
0.5000 0.5000 0.0000
0.5000 0.5000 0.5000
0.7854 0.2146 0.2500
0.2146 0.7854 0.7500
0.1262 0.8738 0.0309
0.1262 0.8738 0.4691
0.8738 0.1262 0.5309
0.8738 0.1262 0.9691
0.4490 0.5510 0.2500
0.5510 0.4490 0.7500



Record 5
PBE InGeTe2AuSe, optimized geometry; raw total energy = -3.425 eV/atom
1.0
2.0376 -6.6564 0.0000
2.0376 6.6564 0.0000
0.0000 0.0000 11.4670
Au Ge In Se Te
2 2 2 2 4
direct
0.0341 0.9659 0.2500
0.9659 0.0341 0.7500
0.5000 0.5000 0.0000
0.5000 0.5000 0.5000
0.7400 0.2600 0.2500
0.2600 0.7400 0.7500
0.4030 0.5970 0.2500
0.5970 0.4030 0.7500
0.1516 0.8484 0.0524
0.1516 0.8484 0.4476
0.8484 0.1516 0.5524
0.8484 0.1516 0.9476



Record 6
PBE InGeTeAuSe2, optimized geometry; raw total energy = -3.604 eV/atom
1.0
5.7844 3.4717 -2.0395
-6.2637 -2.6191 -1.8916
-4.8305 9.6202 2.6757
Au Ge In Se Te
2 2 2 4 2
direct
0.1408 0.8592 0.2500
0.8592 0.1408 0.7500
0.5000 0.5000 0.0000
0.5000 0.5000 0.5000
0.7909 0.2091 0.2500
0.2091 0.7909 0.7500
0.1359 0.8641 0.0248
0.1359 0.8641 0.4752
0.8641 0.1359 0.5248
0.8641 0.1359 0.9752
0.4592 0.5408 0.2500
0.5408 0.4592 0.7500



Record 7
PBE InGeTe3Au, optimized geometry; ΔE to the lowest computed polymorph = 0.0 meV/atom
1.0
6.4906 -2.1583 0.0000
6.4906 2.1583 0.0000
0.0000 0.0000 11.7543
Au Ge In Te
2 2 2 6
direct
0.3637 0.3637 0.2500
0.6363 0.6363 0.7500
0.0000 0.0000 0.0000
0.0000 0.0000 0.5000
0.7078 0.7078 0.2500
0.2922 0.2922 0.7500
0.3488 0.3488 0.0208
0.0312 0.0312 0.2500
0.3488 0.3488 0.4792
0.6512 0.6512 0.5208
0.9688 0.9688 0.7500
0.6512 0.6512 0.9792



Record 8
PBE InGeTe3Au, optimized geometry; ΔE to the lowest computed polymorph = 74.9 meV/atom
1.0
-2.3355 5.9400 -2.2607
-1.6870 -6.4009 1.4252
-2.8914 3.4392 12.0236
Au Ge In Te
2 2 2 6
direct
0.4402 0.5598 0.2500
0.5598 0.4402 0.7500
0.7648 0.2352 0.2500
0.2352 0.7648 0.7500
0.0000 0.0000 0.0000
0.0000 0.0000 0.5000
0.3475 0.6525 0.0624
0.1030 0.8970 0.2500
0.3475 0.6525 0.4376
0.6525 0.3475 0.5624
0.8970 0.1030 0.7500
0.6525 0.3475 0.9376